Entry 1:
Here is MgTl2Cd at its PBEsol-relaxed geometry from the Alexandria database. Energies are from meta-GGA SCAN.

Cell: 4.301 4.718 4.787 Å, 90.00 90.00 90.00°
Space group Pmmm (No. 47)
Symmetry-distinct sites (fractional):
Mg (0.000, 0.000, 0.000) [1 per cell]
Tl (0.500, 0.000, 0.500) [1 per cell]
Tl (0.500, 0.500, 0.000) [1 per cell]
Cd (0.000, 0.500, 0.500) [1 per cell]

The value obtained for the volume is 24.287 Å³ per atom. The total DFT energy (no corrections) is -45.032 eV/atom. Its density of states at the Fermi level is 0.374 states/eV/atom. The energy relative to the elements comes out at -1 kJ/mol of atoms.

=====

Entry 2:
Here is LiZr2Cu at its PBEsol-relaxed geometry from the Alexandria database. Energies are from meta-GGA SCAN.

Cell: 6.553 6.553 6.553 Å, 90.00 90.00 90.00°
Space group F-43m (No. 216)
Symmetry-distinct sites (fractional):
Li (0.000, 0.000, 0.000) [4 per cell]
Zr (0.000, 0.000, 0.500) [4 per cell]
Zr (0.250, 0.250, 0.750) [4 per cell]
Cu (0.250, 0.250, 0.250) [4 per cell]

The value obtained for the volume is 17.584 Å³ per atom. The total DFT energy (no corrections) is -19.419 eV/atom. Its density of states at the Fermi level is 0.570 states/eV/atom. The energy relative to the elements comes out at 32 kJ/mol of atoms.